4
Lattice="0.000 2.912 2.912 2.912 0.000 2.912 2.912 2.912 0.000" Properties=species:S:1:pos:R:3 comment="PBE BeCoNiSb, relaxed" space_group="No. 216" final_energy_ev_per_atom=-5.1572 pbc="T T T"
Be 0.000 0.000 0.000
Co 1.456 1.456 1.456
Ni 4.368 4.368 4.368
Sb 2.912 2.912 2.912

4
Lattice="0.000 2.927 2.927 2.927 0.000 2.927 2.927 2.927 0.000" Properties=species:S:1:pos:R:3 comment="PBE BeCoNiSb, relaxed" space_group="No. 216" final_energy_ev_per_atom=-4.8948 pbc="T T T"
Be 0.000 0.000 0.000
Co 4.390 4.390 4.390
Ni 2.927 2.927 2.927
Sb 1.463 1.463 1.463

4
Lattice="0.000 2.961 2.961 2.961 0.000 2.961 2.961 2.961 0.000" Properties=species:S:1:pos:R:3 comment="PBE BeTlCoNi, relaxed" space_group="No. 216" final_energy_ev_per_atom=-4.3730 pbc="T T T"
Be 0.000 0.000 0.000
Tl 2.961 2.961 2.961
Co 4.441 4.441 4.441
Ni 1.480 1.480 1.480

4
Lattice="0.000 2.965 2.965 2.965 0.000 2.965 2.965 2.965 0.000" Properties=species:S:1:pos:R:3 comment="PBE BeTlCoNi, relaxed" space_group="No. 216" final_energy_ev_per_atom=-4.2807 pbc="T T T"
Be 0.000 0.000 0.000
Tl 1.483 1.483 1.483
Co 4.448 4.448 4.448
Ni 2.965 2.965 2.965